Entry from OQMD: an optimized crystal structure of Ag2I3Br (GGA-PBE).

The electronic total energy is -2.142 eV per atom.

It has space group Pm (No. 6), with a = 7.3193 Å, b = 3.9970 Å, c = 7.9744 Å, α = 90.00°, β = 116.22° and γ = 90.00°. The distinct sites, in fractional coordinates, are Ag at (0.0000, 0.0000, 0.0000), Ag at (0.4919, 0.5000, 0.4997), I at (0.2250, 0.0000, 0.4933), I at (0.7288, 0.5000, 0.9941), I at (0.7578, 0.0000, 0.5033) and Br at (0.2458, 0.5000, 0.0074).



Entry from OQMD: an optimized crystal structure of Dy2I (GGA-PBE).

The offset from the most stable computed form is 0.00 eV/f.u.

It has space group P4_2/mnm (No. 136), with a = 6.9425 Å, b = 6.9425 Å, c = 4.2768 Å, α = 90.00°, β = 90.00° and γ = 90.00°. The distinct sites, in fractional coordinates, are Dy at (0.2057, 0.2057, 0.0000) and I at (0.0000, 0.0000, 0.5000).



Entry from OQMD: an optimized crystal structure of Hf3Bi4Sb4 (GGA-PBE).

The electronic total energy is -5.563 eV per atom.

It has space group I-42m (No. 121), with a = 7.1038 Å, b = 7.1038 Å, c = 13.2667 Å, α = 90.00°, β = 90.00° and γ = 90.00°. The distinct sites, in fractional coordinates, are Hf at (0.0000, 0.0000, 0.0000), Hf at (0.0000, 0.5000, 0.2500), Bi at (0.0000, 0.0000, 0.3762), Bi at (0.0000, 0.5000, 0.0000) and Sb at (0.1732, 0.1732, 0.1708).



Entry from OQMD: an optimized crystal structure of CsYZnO3 (GGA-PBE).

The electronic total energy is -6.129 eV per atom.

It has space group Cmcm (No. 63), with a = 3.5667 Å, b = 13.2766 Å, c = 9.1047 Å, α = 90.00°, β = 90.00° and γ = 90.00°. The distinct sites, in fractional coordinates, are Cs at (0.0000, 0.2232, 0.2500), Y at (0.0000, 0.5000, 0.0000), Zn at (0.0000, 0.0552, 0.7500), O at (0.0000, 0.1054, 0.5522) and O at (0.0000, 0.4694, 0.7500).



Number 1: V 209.28 Å³/cell. Number 2: V 206.13 Å³/cell. Number 3: V 669.49 Å³/cell. Number 4: V 431.14 Å³/cell.